The following is a GGA-PBE calculation of a geometry-optimized HfZr2N3 structure, from the Alexandria database.

Calculated values
* energy relative to the elements, uncorrected: -1712 meV per atom
* N(E_F): 1.8 states/eV/cell
* SG: Immm

a = 3.2525 Å, b = 4.5766 Å, c = 5.6281 Å
α = 113.99°, β = 106.80°, γ = 90.00°
With the nearest neighbours (Å) after each atom.
Positions (direct):
Hf: 0.0000 0.5000 0.0000  6 N 2.25-2.29
Zr: 0.3313 0.8313 0.6627  6 N 2.29-2.34
Zr: 0.6687 0.1687 0.3373  6 N 2.29-2.34
N: 0.6594 0.6594 0.3188  2 Hf 2.25, 4 Zr 2.29-2.34
N: 0.0000 0.0000 0.0000  2 Hf 2.29, 4 Zr 2.31
N: 0.3406 0.3406 0.6812  2 Hf 2.25, 4 Zr 2.29-2.34